Version w
Density functional theory data (PBE-GGA) for a relaxed Li2LaI6 crystal.

Unit cell a=14.9986 b=4.8455 c=11.0104 alpha=90.00 beta=105.74 gamma=90.00
Space group C2/m (No. 12)
One atom of each set of equivalent atoms:
Li 0.2112 0.0000 0.1630 [4 per cell]
La 0.0000 0.0000 0.5000 [2 per cell]
I 0.0437 0.0000 0.2420 [4 per cell]
I 0.1477 0.5000 0.5946 [4 per cell]
I 0.1663 0.5000 0.0402 [4 per cell]

Output
N(E_F) (states/eV/f.u.): 3.81
Total magnetization (Bohr magnetons per cell): 2.2

***

Version x
Density functional theory data (PBE-GGA) for a relaxed Li2LaI6 crystal.

Unit cell a=13.8096 b=15.0160 c=8.0117 alpha=90.00 beta=109.99 gamma=90.00
Space group C2/c (No. 15)
One atom of each set of equivalent atoms:
Li 0.1325 0.0911 0.2226 [8 per cell]
La 0.0000 0.4061 0.2500 [4 per cell]
I 0.0909 0.0783 0.5442 [8 per cell]
I 0.1334 0.4315 0.6614 [8 per cell]
I 0.1580 0.2753 0.1903 [8 per cell]

Output
N(E_F) (states/eV/f.u.): 0.24
Total magnetization (Bohr magnetons per cell): 4.2

***

Stability verdict: version x, ahead by 3.7 kJ/mol of atoms

***

Version w
Density functional theory data (PBE-GGA) for a relaxed Li3LaI crystal.

Unit cell a=5.2544 b=5.2544 c=5.2544 alpha=90.00 beta=90.00 gamma=90.00
Space group Pm-3m (No. 221)
One atom of each set of equivalent atoms:
Li 0.0000 0.0000 0.5000 [3 per cell]
La 0.5000 0.5000 0.5000 [1 per cell]
I 0.0000 0.0000 0.0000 [1 per cell]

Output
N(E_F) (states/eV/f.u.): 6.59
Total magnetization (Bohr magnetons per cell): 0.6

***

Version x
Density functional theory data (PBE-GGA) for a relaxed Li3LaI crystal.

Unit cell a=6.1469 b=6.1469 c=6.1469 alpha=90.00 beta=90.00 gamma=90.00
Space group Pm-3m (No. 221)
One atom of each set of equivalent atoms:
Li 0.0000 0.0000 0.5000 [3 per cell]
La 0.0000 0.0000 0.0000 [1 per cell]
I 0.5000 0.5000 0.5000 [1 per cell]

Output
N(E_F) (states/eV/f.u.): 4.84
Total magnetization (Bohr magnetons per cell): 3.0

***

Stability verdict: version w, ahead by 67.6 kJ/mol of atoms

***

Version w
Density functional theory data (PBE-GGA) for a relaxed LiLaI2 crystal.

Unit cell a=7.8912 b=7.8912 c=7.8912 alpha=90.00 beta=90.00 gamma=90.00
Space group Fm-3m (No. 225)
One atom of each set of equivalent atoms:
Li 0.0000 0.0000 0.0000 [4 per cell]
La 0.0000 0.0000 0.5000 [4 per cell]
I 0.2500 0.2500 0.2500 [8 per cell]

Output
N(E_F) (states/eV/f.u.): 1.85
Total magnetization (Bohr magnetons per cell): 7.3

***

Version x
Density functional theory data (PBE-GGA) for a relaxed LiLaI2 crystal.

Unit cell a=3.9934 b=3.9934 c=7.5686 alpha=90.00 beta=90.00 gamma=90.00
Space group P4/mmm (No. 123)
One atom of each set of equivalent atoms:
Li 0.0000 0.0000 0.0000 [1 per cell]
La 0.0000 0.0000 0.5000 [1 per cell]
I 0.5000 0.5000 0.2566 [2 per cell]

Output
N(E_F) (states/eV/f.u.): 1.05
Total magnetization (Bohr magnetons per cell): 0.0

***

Version y
Density functional theory data (PBE-GGA) for a relaxed LiLaI2 crystal.

Unit cell a=4.0936 b=4.0936 c=25.0945 alpha=90.00 beta=90.00 gamma=120.00
Space group R3m (No. 160, hexagonal axes)
One atom of each set of equivalent atoms:
Li 0.0000 0.0000 0.0000 [3 per cell]
La 0.0000 0.0000 0.8354 [3 per cell]
I 0.0000 0.0000 0.4055 [3 per cell]
I 0.0000 0.0000 0.5974 [3 per cell]

Output
N(E_F) (states/eV/f.u.): 1.41
Total magnetization (Bohr magnetons per cell): 0.0

***

Version z
Density functional theory data (PBE-GGA) for a relaxed LiLaI2 crystal.

Unit cell a=8.1035 b=8.1035 c=7.6419 alpha=90.00 beta=90.00 gamma=90.00
Space group I-42d (No. 122)
One atom of each set of equivalent atoms:
Li 0.0000 0.0000 0.0000 [4 per cell]
La 0.0000 0.0000 0.5000 [4 per cell]
I 0.1947 0.2500 0.1250 [8 per cell]

Output
N(E_F) (states/eV/f.u.): 2.34
Total magnetization (Bohr magnetons per cell): 4.2

***

Stability verdict: version y, ahead by 9.8 kJ/mol of atoms

***

Version w
Density functional theory data (PBE-GGA) for a relaxed Li2LaI crystal.

Unit cell a=8.6389 b=8.6389 c=6.3739 alpha=90.00 beta=90.00 gamma=90.00
Space group I-42d (No. 122)
One atom of each set of equivalent atoms:
Li 0.1967 0.2500 0.1250 [8 per cell]
La 0.0000 0.0000 0.5000 [4 per cell]
I 0.0000 0.0000 0.0000 [4 per cell]

Output
N(E_F) (states/eV/f.u.): 3.08
Total magnetization (Bohr magnetons per cell): 0.0

***

Version x
Density functional theory data (PBE-GGA) for a relaxed Li2LaI crystal.

Unit cell a=7.4356 b=7.4356 c=7.4356 alpha=90.00 beta=90.00 gamma=90.00
Space group Fm-3m (No. 225)
One atom of each set of equivalent atoms:
Li 0.2500 0.2500 0.2500 [8 per cell]
La 0.0000 0.0000 0.0000 [4 per cell]
I 0.0000 0.0000 0.5000 [4 per cell]

Output
N(E_F) (states/eV/f.u.): 4.51
Total magnetization (Bohr magnetons per cell): 0.0

***

Stability verdict: version w, ahead by 23.5 kJ/mol of atoms

***

Version w
Density functional theory data (PBE-GGA) for a relaxed Li2La2I crystal.

Unit cell a=8.5994 b=8.5994 c=4.3778 alpha=90.00 beta=90.00 gamma=90.00
Space group P4/mbm (No. 127)
One atom of each set of equivalent atoms:
Li 0.1290 0.3710 0.0000 [4 per cell]
La 0.1601 0.6601 0.5000 [4 per cell]
I 0.0000 0.0000 0.5000 [2 per cell]

Output
N(E_F) (states/eV/f.u.): 6.23
Total magnetization (Bohr magnetons per cell): 0.0

***

Version x
Density functional theory data (PBE-GGA) for a relaxed Li2La2I crystal.

Unit cell a=8.2484 b=8.2484 c=4.2237 alpha=90.00 beta=90.00 gamma=90.00
Space group P4/mbm (No. 127)
One atom of each set of equivalent atoms:
Li 0.1314 0.3686 0.0000 [4 per cell]
La 0.1586 0.6586 0.5000 [4 per cell]
I 0.0000 0.0000 0.0000 [2 per cell]

Output
N(E_F) (states/eV/f.u.): 4.69
Total magnetization (Bohr magnetons per cell): 0.0

***

Stability verdict: version w, ahead by 0.5 kJ/mol of atoms

***

Version w
Density functional theory data (PBE-GGA) for a relaxed LiLaTe2I crystal.

Unit cell a=5.2307 b=5.2307 c=5.4440 alpha=90.00 beta=90.00 gamma=90.00
Space group P4/mmm (No. 123)
One atom of each set of equivalent atoms:
Li 0.0000 0.0000 0.0000 [1 per cell]
La 0.5000 0.5000 0.5000 [1 per cell]
Te 0.0000 0.5000 0.0000 [2 per cell]
I 0.0000 0.0000 0.5000 [1 per cell]

Output
N(E_F) (states/eV/f.u.): 2.91
Total magnetization (Bohr magnetons per cell): 0.0

***

Version x
Density functional theory data (PBE-GGA) for a relaxed LiLaTe2I crystal.

Unit cell a=6.1707 b=6.1707 c=6.3563 alpha=90.00 beta=90.00 gamma=90.00
Space group P4/mmm (No. 123)
One atom of each set of equivalent atoms:
Li 0.0000 0.0000 0.0000 [1 per cell]
La 0.5000 0.5000 0.5000 [1 per cell]
Te 0.0000 0.5000 0.5000 [2 per cell]
I 0.5000 0.5000 0.0000 [1 per cell]

Output
N(E_F) (states/eV/f.u.): 7.37
Total magnetization (Bohr magnetons per cell): 0.0

***

Stability verdict: version w, ahead by 4.4 kJ/mol of atoms

***

Version w
Density functional theory data (PBE-GGA) for a relaxed LaMg3I crystal.

Unit cell a=5.6580 b=5.6580 c=5.6580 alpha=90.00 beta=90.00 gamma=90.00
Space group Pm-3m (No. 221)
One atom of each set of equivalent atoms:
La 0.0000 0.0000 0.0000 [1 per cell]
Mg 0.0000 0.5000 0.5000 [3 per cell]
I 0.5000 0.5000 0.5000 [1 per cell]

Output
N(E_F) (states/eV/f.u.): 9.28
Total magnetization (Bohr magnetons per cell): 0.0

***

Version x
Density functional theory data (PBE-GGA) for a relaxed LaMg3I crystal.

Unit cell a=6.5413 b=6.5413 c=6.5413 alpha=90.00 beta=90.00 gamma=90.00
Space group Pm-3m (No. 221)
One atom of each set of equivalent atoms:
La 0.0000 0.0000 0.0000 [1 per cell]
Mg 0.0000 0.0000 0.5000 [3 per cell]
I 0.5000 0.5000 0.5000 [1 per cell]

Output
N(E_F) (states/eV/f.u.): 6.29
Total magnetization (Bohr magnetons per cell): 0.0

***

Stability verdict: version w, ahead by 29.7 kJ/mol of atoms

***

Version w
Density functional theory data (PBE-GGA) for a relaxed LaMgI2 crystal.

Unit cell a=8.0174 b=8.0174 c=8.0174 alpha=90.00 beta=90.00 gamma=90.00
Space group Fm-3m (No. 225)
One atom of each set of equivalent atoms:
La 0.0000 0.0000 0.0000 [4 per cell]
Mg 0.0000 0.0000 0.5000 [4 per cell]
I 0.2500 0.2500 0.2500 [8 per cell]

Output
N(E_F) (states/eV/f.u.): 3.32
Total magnetization (Bohr magnetons per cell): 4.0

***

Version x
Density functional theory data (PBE-GGA) for a relaxed LaMgI2 crystal.

Unit cell a=4.0335 b=4.0335 c=30.4364 alpha=90.00 beta=90.00 gamma=120.00
Space group R-3m (No. 166, hexagonal axes)
One atom of each set of equivalent atoms:
La 0.0000 0.0000 0.0000 [3 per cell]
Mg 0.0000 0.0000 0.5000 [3 per cell]
I 0.0000 0.0000 0.1079 [6 per cell]

Output
N(E_F) (states/eV/f.u.): 3.62
Total magnetization (Bohr magnetons per cell): 0.0

***

Stability verdict: version w, ahead by 11.5 kJ/mol of atoms

***

Version w
Density functional theory data (PBE-GGA) for a relaxed LaMgIN2 crystal.

Unit cell a=4.3863 b=4.3863 c=6.5782 alpha=90.00 beta=90.00 gamma=90.00
Space group P4/mmm (No. 123)
One atom of each set of equivalent atoms:
La 0.0000 0.0000 0.0000 [1 per cell]
Mg 0.5000 0.5000 0.5000 [1 per cell]
I 0.0000 0.0000 0.5000 [1 per cell]
N 0.0000 0.5000 0.0000 [2 per cell]

Output
N(E_F) (states/eV/f.u.): 2.88
Total magnetization (Bohr magnetons per cell): 0.2

***

Version x
Density functional theory data (PBE-GGA) for a relaxed LaMgIN2 crystal.

Unit cell a=4.3580 b=4.3580 c=5.2403 alpha=90.00 beta=90.00 gamma=90.00
Space group P4/mmm (No. 123)
One atom of each set of equivalent atoms:
La 0.0000 0.0000 0.0000 [1 per cell]
Mg 0.5000 0.5000 0.5000 [1 per cell]
I 0.5000 0.5000 0.0000 [1 per cell]
N 0.0000 0.5000 0.5000 [2 per cell]

Output
N(E_F) (states/eV/f.u.): 3.43
Total magnetization (Bohr magnetons per cell): 0.9

***

Version y
Density functional theory data (PBE-GGA) for a relaxed LaMgIN2 crystal.

Unit cell a=4.5476 b=4.5476 c=5.8276 alpha=90.00 beta=90.00 gamma=90.00
Space group P4/mmm (No. 123)
One atom of each set of equivalent atoms:
La 0.0000 0.0000 0.0000 [1 per cell]
Mg 0.5000 0.5000 0.0000 [1 per cell]
I 0.0000 0.0000 0.5000 [1 per cell]
N 0.0000 0.5000 0.5000 [2 per cell]

Output
N(E_F) (states/eV/f.u.): 3.79
Total magnetization (Bohr magnetons per cell): 0.0

***

Stability verdict: version x, ahead by 1.8 kJ/mol of atoms

***

Version w
Density functional theory data (PBE-GGA) for a relaxed LaMn3I crystal.

Unit cell a=5.4848 b=5.4848 c=5.4848 alpha=90.00 beta=90.00 gamma=90.00
Space group Pm-3m (No. 221)
One atom of each set of equivalent atoms:
La 0.0000 0.0000 0.0000 [1 per cell]
Mn 0.0000 0.0000 0.5000 [3 per cell]
I 0.5000 0.5000 0.5000 [1 per cell]

Output
N(E_F) (states/eV/f.u.): 4.20
Total magnetization (Bohr magnetons per cell): 12.4

***

Version x
Density functional theory data (PBE-GGA) for a relaxed LaMn3I crystal.

Unit cell a=4.8925 b=4.8925 c=4.8925 alpha=90.00 beta=90.00 gamma=90.00
Space group Pm-3m (No. 221)
One atom of each set of equivalent atoms:
La 0.0000 0.0000 0.0000 [1 per cell]
Mn 0.0000 0.5000 0.5000 [3 per cell]
I 0.5000 0.5000 0.5000 [1 per cell]

Output
N(E_F) (states/eV/f.u.): 9.50
Total magnetization (Bohr magnetons per cell): 8.0

***

Stability verdict: version x, ahead by 53.9 kJ/mol of atoms

***

Version w
Density functional theory data (PBE-GGA) for a relaxed LaMnI2 crystal.

Unit cell a=6.8626 b=6.8626 c=12.8630 alpha=90.00 beta=90.00 gamma=90.00
Space group I-42d (No. 122)
One atom of each set of equivalent atoms:
La 0.0000 0.0000 0.0000 [4 per cell]
Mn 0.0000 0.0000 0.5000 [4 per cell]
I 0.1799 0.2500 0.6250 [8 per cell]

Output
N(E_F) (states/eV/f.u.): 3.26
Total magnetization (Bohr magnetons per cell): 8.2

***

Version x
Density functional theory data (PBE-GGA) for a relaxed LaMnI2 crystal.

Unit cell a=7.7806 b=7.7806 c=7.7806 alpha=90.00 beta=90.00 gamma=90.00
Space group Fm-3m (No. 225)
One atom of each set of equivalent atoms:
La 0.0000 0.0000 0.0000 [4 per cell]
Mn 0.0000 0.0000 0.5000 [4 per cell]
I 0.2500 0.2500 0.2500 [8 per cell]

Output
N(E_F) (states/eV/f.u.): 1.09
Total magnetization (Bohr magnetons per cell): 16.0

***

Stability verdict: version x, ahead by 24.6 kJ/mol of atoms

***

Version w
Density functional theory data (PBE-GGA) for a relaxed LaMoI2 crystal.

Unit cell a=5.2532 b=5.2532 c=19.2415 alpha=90.00 beta=90.00 gamma=90.00
Space group I-42d (No. 122)
One atom of each set of equivalent atoms:
La 0.0000 0.0000 0.0000 [4 per cell]
Mo 0.0000 0.0000 0.5000 [4 per cell]
I 0.2180 0.2500 0.6250 [8 per cell]

Output
N(E_F) (states/eV/f.u.): 2.67
Total magnetization (Bohr magnetons per cell): 12.0

***

Version x
Density functional theory data (PBE-GGA) for a relaxed LaMoI2 crystal.

Unit cell a=7.5923 b=7.5923 c=7.5923 alpha=90.00 beta=90.00 gamma=90.00
Space group Fm-3m (No. 225)
One atom of each set of equivalent atoms:
La 0.0000 0.0000 0.0000 [4 per cell]
Mo 0.0000 0.0000 0.5000 [4 per cell]
I 0.2500 0.2500 0.2500 [8 per cell]

Output
N(E_F) (states/eV/f.u.): 1.44
Total magnetization (Bohr magnetons per cell): 12.1

***

Stability verdict: version x, ahead by 8.4 kJ/mol of atoms